Entry 1:
Compound: AgTeO2F
Source: Alexandria via LeMat-Bulk
Functional: PBE
Structure: relaxed

a b c (Å): 4.204 4.204 4.165
angles (deg): 90.00 90.00 90.00
Sites, in units of the cell vectors:
Ag1 0.000 0.000 0.000
Te1 0.500 0.500 0.500
O1 0.000 0.500 0.000
O2 0.500 0.000 0.000
F1 0.000 0.000 0.500

Formation energy (no corrections) ... 45 meV per atom

=====

Entry 2:
Compound: RuSeIN2
Source: Alexandria via LeMat-Bulk
Functional: PBE
Structure: relaxed

a b c (Å): 3.876 3.876 6.620
angles (deg): 90.00 90.00 90.00
Sites, in units of the cell vectors:
Ru1 0.000 0.000 0.000
Se1 0.500 0.500 0.000
I1 0.500 0.500 0.500
N1 0.000 0.500 0.500
N2 0.500 0.000 0.500

Relative energy among the computed polymorphs ... 1.2115 eV per atom
Formation energy (no corrections) ... 2166 meV per atom

=====

Entry 3:
Compound: NiSeSN
Source: Alexandria via LeMat-Bulk
Functional: PBE
Structure: relaxed

a b c (Å): 3.906 3.906 6.433
angles (deg): 98.09 98.09 43.21
Sites, in units of the cell vectors:
Ni1 0.000 0.000 0.000
Se1 0.670 0.670 0.796
S1 0.402 0.402 0.399
N1 0.466 0.466 0.182

Relative energy among the computed polymorphs ... 0.0000 eV per atom
Formation energy (no corrections) ... 202 meV per atom

=====

Entry 4:
Compound: CsAg2N
Source: Alexandria via LeMat-Bulk
Functional: PBE
Structure: relaxed

a b c (Å): 6.777 6.777 6.777
angles (deg): 120.19 120.19 89.67
Sites, in units of the cell vectors:
Cs1 0.375 0.625 0.750
Cs2 0.625 0.375 0.250
Ag1 0.000 0.000 0.000
Ag2 0.000 0.000 0.500
Ag3 0.000 0.500 0.000
Ag4 0.500 0.000 0.500
N1 0.125 0.875 0.250
N2 0.875 0.125 0.750

Formation energy (no corrections) ... 289 meV per atom

=====

Entry 5:
Compound: CaLa2BeO5
Source: Alexandria via LeMat-Bulk
Functional: PBE
Structure: relaxed

a b c (Å): 9.668 6.636 7.305
angles (deg): 90.00 90.00 90.00
Sites, in units of the cell vectors:
Ca1 0.179 0.077 0.000
Ca2 0.321 0.577 0.500
Ca3 0.679 0.423 0.000
Ca4 0.821 0.923 0.500
La1 0.023 0.597 0.765
La2 0.171 0.072 0.548
La3 0.329 0.572 0.048
La4 0.477 0.097 0.265
La5 0.523 0.903 0.765
La6 0.671 0.428 0.548
La7 0.829 0.928 0.048
La8 0.977 0.403 0.265
Be1 0.105 0.806 0.267
Be2 0.395 0.306 0.767
Be3 0.605 0.694 0.267
Be4 0.895 0.194 0.767
O1 0.013 0.016 0.269
O2 0.071 0.689 0.078
O3 0.076 0.692 0.460
O4 0.224 0.360 0.766
O5 0.227 0.336 0.265
O6 0.273 0.836 0.765
O7 0.276 0.860 0.266
O8 0.424 0.192 0.960
O9 0.429 0.189 0.578
O10 0.487 0.516 0.769
O11 0.513 0.484 0.269
O12 0.571 0.811 0.078
O13 0.576 0.808 0.460
O14 0.724 0.140 0.766
O15 0.727 0.164 0.265
O16 0.773 0.664 0.765
O17 0.776 0.640 0.266
O18 0.924 0.308 0.960
O19 0.929 0.311 0.578
O20 0.987 0.984 0.769

Relative energy among the computed polymorphs ... 0.0000 eV per atom
Formation energy (no corrections) ... -3162 meV per atom

=====

Entry 6:
Compound: LaNd2Sm4
Source: Alexandria via LeMat-Bulk
Functional: PBE
Structure: relaxed

a b c (Å): 7.063 10.585 7.091
angles (deg): 90.00 106.81 90.00
Sites, in units of the cell vectors:
La1 0.000 0.000 0.000
La2 0.500 0.000 0.000
Nd1 0.000 0.000 0.500
Nd2 0.000 0.500 0.000
Nd3 0.000 0.500 0.500
Nd4 0.500 0.500 0.500
Sm1 0.269 0.219 0.312
Sm2 0.269 0.781 0.312
Sm3 0.270 0.285 0.811
Sm4 0.270 0.715 0.811
Sm5 0.730 0.285 0.189
Sm6 0.730 0.715 0.189
Sm7 0.731 0.219 0.688
Sm8 0.731 0.781 0.688

Relative energy among the computed polymorphs ... 0.1833 eV per atom
Calculated formation energy ... 1.35 eV per formula unit